(1)
# CsY2TlRh PBE optimized geometry
data_CsY2TlRh
_chemical_formula_sum 'Cs1 Y2 Tl1 Rh1'
_space_group_name_H-M_alt 'P 4/m m m'
_space_group_IT_number 123
_space_group_name_Hall '-P 4 2'
_cell_length_a 5.788
_cell_length_b 5.788
_cell_length_c 6.384
_cell_angle_alpha 90.00
_cell_angle_beta 90.00
_cell_angle_gamma 90.00
loop_
_atom_site_label
_atom_site_fract_x
_atom_site_fract_y
_atom_site_fract_z
Cs1 0.000 0.000 0.000
Y1 0.000 0.500 0.500
Tl1 0.000 0.000 0.500
Rh1 0.500 0.500 0.000
# Crystal system: tetragonal
# V, Å³/f.u.: 213.9
# Calculated formation energy, eV per atom: 1.085

=====

(2)
# Fe2HgPt PBE optimized geometry
data_Fe2HgPt
_chemical_formula_sum 'Fe6 Hg3 Pt3'
_space_group_name_H-M_alt 'R -3 m'
_space_group_IT_number 166
_space_group_name_Hall '-R 3 2"'
_cell_length_a 2.8192
_cell_length_b 2.8192
_cell_length_c 27.0081
_cell_angle_alpha 90.00
_cell_angle_beta 90.00
_cell_angle_gamma 120.00
loop_
_atom_site_label
_atom_site_fract_x
_atom_site_fract_y
_atom_site_fract_z
Fe1 0.0000 0.0000 0.2456
Hg1 0.0000 0.0000 0.0000
Pt1 0.0000 0.0000 0.5000
# Crystal system: trigonal
# V, Å³/f.u.: 62.0
# Calculated formation energy, eV per atom: 0.223

=====

(3)
# Ge2SbPb2 PBE optimized geometry
data_Ge2SbPb2
_chemical_formula_sum 'Ge4 Sb2 Pb4'
_space_group_name_H-M_alt 'I 4/m m m'
_space_group_IT_number 139
_space_group_name_Hall '-I 4 2'
_cell_length_a 3.818
_cell_length_b 3.818
_cell_length_c 18.702
_cell_angle_alpha 90.00
_cell_angle_beta 90.00
_cell_angle_gamma 90.00
loop_
_atom_site_label
_atom_site_fract_x
_atom_site_fract_y
_atom_site_fract_z
Ge1 0.000 0.500 0.250
Sb1 0.000 0.000 0.000
Pb1 0.000 0.000 0.392
# Crystal system: tetragonal
# Energy relative to the lowest polymorph listed for this composition, meV/atom: 0
# V, Å³/f.u.: 136.3

=====

(4)
# KMoPd2 PBE optimized geometry
data_KMoPd2
_chemical_formula_sum 'K4 Mo4 Pd8'
_space_group_name_H-M_alt 'F m -3 m'
_space_group_IT_number 225
_space_group_name_Hall '-F 4 2 3'
_cell_length_a 6.761
_cell_length_b 6.761
_cell_length_c 6.761
_cell_angle_alpha 90.00
_cell_angle_beta 90.00
_cell_angle_gamma 90.00
loop_
_atom_site_label
_atom_site_fract_x
_atom_site_fract_y
_atom_site_fract_z
K1 0.000 0.000 0.000
Mo1 0.000 0.000 0.500
Pd1 0.250 0.250 0.250
# Crystal system: cubic
# Energy relative to the lowest polymorph listed for this composition, meV/atom: 0
# V, Å³/f.u.: 77.2
# Calculated formation energy, eV per atom: 0.843

=====

(5)
# Sc3Cd2Tc PBE optimized geometry
data_Sc3Cd2Tc
_chemical_formula_sum 'Sc12 Cd8 Tc4'
_space_group_name_H-M_alt 'C m m m'
_space_group_IT_number 65
_space_group_name_Hall '-C 2 2'
_cell_length_a 4.805
_cell_length_b 14.300
_cell_length_c 7.103
_cell_angle_alpha 90.00
_cell_angle_beta 90.00
_cell_angle_gamma 90.00
loop_
_atom_site_label
_atom_site_fract_x
_atom_site_fract_y
_atom_site_fract_z
Sc1 0.000 0.000 0.228
Sc2 0.000 0.325 0.220
Cd1 0.000 0.165 0.500
Cd2 0.000 0.500 0.000
Cd3 0.000 0.500 0.500
Tc1 0.000 0.163 0.000
# Crystal system: orthorhombic
# V, Å³/f.u.: 122.0
# Calculated formation energy, eV per atom: -0.306

=====

(6)
# CaSn2Bi PBE optimized geometry
data_CaSn2Bi
_chemical_formula_sum 'Ca4 Sn8 Bi4'
_space_group_name_H-M_alt 'I -4 2 d'
_space_group_IT_number 122
_space_group_name_Hall 'I -4 2bw'
_cell_length_a 8.883
_cell_length_b 8.883
_cell_length_c 6.420
_cell_angle_alpha 90.00
_cell_angle_beta 90.00
_cell_angle_gamma 90.00
loop_
_atom_site_label
_atom_site_fract_x
_atom_site_fract_y
_atom_site_fract_z
Ca1 0.000 0.000 0.000
Sn1 0.233 0.250 0.625
Bi1 0.000 0.000 0.500
# Crystal system: tetragonal
# V, Å³/f.u.: 126.6
# Calculated formation energy, eV per atom: -0.226

=====

(7)
# Cs2VCl PBE optimized geometry
data_Cs2VCl
_chemical_formula_sum 'Cs8 V4 Cl4'
_space_group_name_H-M_alt 'F m -3 m'
_space_group_IT_number 225
_space_group_name_Hall '-F 4 2 3'
_cell_length_a 9.089
_cell_length_b 9.089
_cell_length_c 9.089
_cell_angle_alpha 90.00
_cell_angle_beta 90.00
_cell_angle_gamma 90.00
loop_
_atom_site_label
_atom_site_fract_x
_atom_site_fract_y
_atom_site_fract_z
Cs1 0.250 0.250 0.250
V1 0.000 0.000 0.000
Cl1 0.000 0.000 0.500
# Crystal system: cubic
# V, Å³/f.u.: 187.7

=====

(8)
# KCu3Ni PBE optimized geometry
data_KCu3Ni
_chemical_formula_sum 'K1 Cu3 Ni1'
_space_group_name_H-M_alt 'P m -3 m'
_space_group_IT_number 221
_space_group_name_Hall '-P 4 2 3'
_cell_length_a 4.621
_cell_length_b 4.621
_cell_length_c 4.621
_cell_angle_alpha 90.00
_cell_angle_beta 90.00
_cell_angle_gamma 90.00
loop_
_atom_site_label
_atom_site_fract_x
_atom_site_fract_y
_atom_site_fract_z
K1 0.000 0.000 0.000
Cu1 0.000 0.500 0.500
Ni1 0.500 0.500 0.500
# Crystal system: cubic
# Energy relative to the lowest polymorph listed for this composition, meV/atom: 0
# V, Å³/f.u.: 98.7
# Calculated formation energy, eV per atom: 0.593

=====

Values for raw total energy, eV/atom, ordered as above
-3.62; -5.59; -3.99; -4.74; -5.50; -3.70; -3.02; -3.24